No. 1
The following is a PBE-GGA calculation of a geometry-optimized KY3Ag2Te6 structure, from the Alexandria database.

The value obtained for the size of the total moment is 0.00 μB/f.u. The volume is 36.55 Å³ per atom. The uncorrected formation energy comes out at -1.05 eV per atom. The value obtained for the total energy is -115.2 eV for the cell shown.

The space group is C2/m (No. 12) and the conventional cell measures 22.222, 4.532 and 9.456 Å, with angles of 90.00, 112.91 and 90.00 degrees. The inequivalent atoms are K at (0.000, 0.000, 0.000), Y at (0.000, 0.000, 0.500), Y at (0.165, 0.500, 0.802), Ag at (0.231, 0.500, 0.203), Te at (0.020, 0.500, 0.736), Te at (0.148, 0.000, 0.563) and Te at (0.172, 0.000, 0.051).

No. 2
The following is a PBE-GGA calculation of a geometry-optimized Ce4AuC structure, from the Alexandria database.

The distance to the lowest polymorph of the same formula is 73.3 kJ/mol of formula units. The value obtained for the size of the total moment is 1.58 μB/f.u. The volume is 22.80 Å³ per atom. For the formation energy, the calculation gives -0.113 eV per atom. The value obtained for the total energy is -73.8 eV for the cell shown.

The space group is P2_1/m (No. 11) and the conventional cell measures 5.470, 6.280 and 8.062 Å, with angles of 90.00, 98.87 and 90.00 degrees. The inequivalent atoms are Ce at (0.177, 0.026, 0.204), Ce at (0.261, 0.750, 0.517), Ce at (0.307, 0.250, 0.756), Au at (0.344, 0.750, 0.897) and C at (0.243, 0.250, 0.456).

No. 3
The following is a PBE-GGA calculation of a geometry-optimized Tb4InSe2 structure, from the Alexandria database.

The value obtained for the size of the total moment is 0.00 μB/f.u. The volume is 27.50 Å³ per atom. The uncorrected formation energy comes out at -1.16 eV per atom. The value obtained for the total energy is -145.4 eV for the cell shown.

The space group is Cmcm (No. 63) and the conventional cell measures 4.073, 13.532 and 13.969 Å, with angles of 90.00, 90.00 and 90.00 degrees. The inequivalent atoms are Tb at (0.000, 0.000, 0.000), Tb at (0.000, 0.270, 0.122), Tb at (0.000, 0.430, 0.750), In at (0.000, 0.104, 0.750) and Se at (0.000, 0.364, 0.558).

No. 4
The following is a PBE-GGA calculation of a geometry-optimized ReHgGe2 structure, from the Alexandria database.

The value obtained for the size of the total moment is 0.00 μB/f.u. The volume is 19.18 Å³ per atom. For the formation energy, the calculation gives 0.192 eV per atom. The value obtained for the total energy is -63.6 eV for the cell shown.

The space group is R-3m (No. 166, hexagonal axes) and the conventional cell measures 3.1621, 3.1621 and 26.5724 Å, with angles of 90.00, 90.00 and 120.00 degrees. The inequivalent atoms are Re at (0.0000, 0.0000, 0.0000), Hg at (0.0000, 0.0000, 0.5000) and Ge at (0.0000, 0.0000, 0.4005).

No. 5
The following is a PBE-GGA calculation of a geometry-optimized CaFe2AgN structure, from the Alexandria database.

The value obtained for the size of the total moment is 4.13 μB/f.u. The volume is 14.80 Å³ per atom. The uncorrected formation energy comes out at 0.25 eV per atom. The value obtained for the total energy is -28.8 eV for the cell shown.

The space group is P4/mmm (No. 123) and the conventional cell measures 3.985, 3.985 and 4.660 Å, with angles of 90.00, 90.00 and 90.00 degrees. The inequivalent atoms are Ca at (0.000, 0.000, 0.000), Fe at (0.000, 0.500, 0.500), Ag at (0.500, 0.500, 0.000) and N at (0.500, 0.500, 0.500).

No. 6
The following is a PBE-GGA calculation of a geometry-optimized Zn7Ag6 structure, from the Alexandria database.

The value obtained for the size of the total moment is 0.00 μB/f.u. The volume is 16.03 Å³ per atom. For the formation energy, the calculation gives -0.051 eV per atom. The value obtained for the total energy is -80.1 eV for the cell shown.

The space group is R-3m (No. 166, hexagonal axes) and the conventional cell measures 5.1121, 5.1121 and 27.6276 Å, with angles of 90.00, 90.00 and 120.00 degrees. The inequivalent atoms are Zn at (0.0000, 0.0000, 0.0000), Zn at (0.0030, 0.5015, 0.4112), Ag at (0.0000, 0.0000, 0.1667), Ag at (0.0000, 0.0000, 0.3467) and Ag at (0.0000, 0.0000, 0.4512).

No. 7
The following is a PBE-GGA calculation of a geometry-optimized Ba2CrAg structure, from the Alexandria database.

The distance to the lowest polymorph of the same formula is 122.4 kJ/mol of formula units. The value obtained for the size of the total moment is 4.25 μB/f.u. The volume is 38.21 Å³ per atom. For the formation energy, the calculation gives 0.550 eV per atom. The value obtained for the total energy is -56.5 eV for the cell shown.

The space group is I-42d (No. 122) and the conventional cell measures 9.085, 9.085 and 7.407 Å, with angles of 90.00, 90.00 and 90.00 degrees. The inequivalent atoms are Ba at (0.239, 0.250, 0.125), Cr at (0.000, 0.000, 0.500) and Ag at (0.000, 0.000, 0.000).

No. 8
The following is a PBE-GGA calculation of a geometry-optimized ZrSiBiI2 structure, from the Alexandria database.

The value obtained for the size of the total moment is 1.50 μB/f.u. The volume is 40.16 Å³ per atom. The uncorrected formation energy comes out at 1.13 eV per atom. The value obtained for the total energy is -15.3 eV for the cell shown.

The space group is P4/mmm (No. 123) and the conventional cell measures 6.060, 6.060 and 5.467 Å, with angles of 90.00, 90.00 and 90.00 degrees. The inequivalent atoms are Zr at (0.000, 0.000, 0.000), Si at (0.500, 0.500, 0.000), Bi at (0.500, 0.500, 0.500) and I at (0.000, 0.500, 0.500).

No. 9
The following is a PBE-GGA calculation of a geometry-optimized Si2SbW structure, from the Alexandria database.

The value obtained for the size of the total moment is 0.00 μB/f.u. The volume is 18.46 Å³ per atom. The uncorrected formation energy comes out at 0.36 eV per atom. The value obtained for the total energy is -52.9 eV for the cell shown.

The space group is C2/m (No. 12) and the conventional cell measures 8.436, 3.367 and 5.225 Å, with angles of 90.00, 95.64 and 90.00 degrees. The inequivalent atoms are Si at (0.222, 0.000, 0.160), Sb at (0.000, 0.000, 0.500) and W at (0.000, 0.500, 0.000).

No. 10
The following is a PBE-GGA calculation of a geometry-optimized Cu2PdI4 structure, from the Alexandria database.

The distance to the lowest polymorph of the same formula is 10.3 kJ/mol of formula units. The value obtained for the size of the total moment is 0.00 μB/f.u. The volume is 31.67 Å³ per atom. The uncorrected formation energy comes out at -0.10 eV per atom. The value obtained for the total energy is -20.3 eV for the cell shown.

The space group is P-42m (No. 111) and the conventional cell measures 5.958, 5.958 and 6.246 Å, with angles of 90.00, 90.00 and 90.00 degrees. The inequivalent atoms are Cu at (0.000, 0.500, 0.000), Pd at (0.000, 0.000, 0.500) and I at (0.257, 0.257, 0.757).

No. 11
The following is a PBE-GGA calculation of a geometry-optimized AcPrCBr structure, from the Alexandria database.

The value obtained for the size of the total moment is 0.00 μB/f.u. The volume is 26.03 Å³ per atom. The uncorrected formation energy comes out at -0.78 eV per atom. The value obtained for the total energy is -68.7 eV for the cell shown.

The space group is R3m (No. 160, hexagonal axes) and the conventional cell measures 3.9148, 3.9148 and 23.5527 Å, with angles of 90.00, 90.00 and 120.00 degrees. The inequivalent atoms are Ac at (0.0000, 0.0000, 0.0000), Pr at (0.0000, 0.0000, 0.2101), C at (0.0000, 0.0000, 0.6010) and Br at (0.0000, 0.0000, 0.7782).

No. 12
The following is a PBE-GGA calculation of a geometry-optimized AcCe3Pb2 structure, from the Alexandria database.

The value obtained for the size of the total moment is 1.48 μB/f.u. The volume is 30.87 Å³ per atom. For the formation energy, the calculation gives -0.301 eV per atom. The value obtained for the total energy is -124.5 eV for the cell shown.

The space group is C2/m (No. 12) and the conventional cell measures 19.117, 5.037 and 8.441 Å, with angles of 90.00, 114.27 and 90.00 degrees. The inequivalent atoms are Ac at (0.116, 0.000, 0.184), Ce at (0.067, 0.000, 0.653), Ce at (0.119, 0.500, 0.553), Ce at (0.200, 0.500, 0.904), Pb at (0.022, 0.500, 0.835) and Pb at (0.244, 0.000, 0.666).

What did the second record say?
The following is a PBE-GGA calculation of a geometry-optimized Ce4AuC structure, from the Alexandria database.

The distance to the lowest polymorph of the same formula is 73.3 kJ/mol of formula units. The value obtained for the size of the total moment is 1.58 μB/f.u. The volume is 22.80 Å³ per atom. For the formation energy, the calculation gives -0.113 eV per atom. The value obtained for the total energy is -73.8 eV for the cell shown.

The space group is P2_1/m (No. 11) and the conventional cell measures 5.470, 6.280 and 8.062 Å, with angles of 90.00, 98.87 and 90.00 degrees. The inequivalent atoms are Ce at (0.177, 0.026, 0.204), Ce at (0.261, 0.750, 0.517), Ce at (0.307, 0.250, 0.756), Au at (0.344, 0.750, 0.897) and C at (0.243, 0.250, 0.456).

What did the tenth record say?
The following is a PBE-GGA calculation of a geometry-optimized Cu2PdI4 structure, from the Alexandria database.

The distance to the lowest polymorph of the same formula is 10.3 kJ/mol of formula units. The value obtained for the size of the total moment is 0.00 μB/f.u. The volume is 31.67 Å³ per atom. The uncorrected formation energy comes out at -0.10 eV per atom. The value obtained for the total energy is -20.3 eV for the cell shown.

The space group is P-42m (No. 111) and the conventional cell measures 5.958, 5.958 and 6.246 Å, with angles of 90.00, 90.00 and 90.00 degrees. The inequivalent atoms are Cu at (0.000, 0.500, 0.000), Pd at (0.000, 0.000, 0.500) and I at (0.257, 0.257, 0.757).

Which value of volume does entry 5 give? 14.80 Å³ per atom

Which of these has the lowest volume? CaFe2AgN